Record 1
A relaxed OsPdI2O crystal, computed with PBE.

Results
The value obtained for the uncorrected formation energy is 3.99 eV/f.u. Its excess energy over the best structure of this formula in the dataset is 0.589 eV/atom.

Cell lengths 5.669, 5.669, 3.628 Å; angles 90.00, 90.00, 90.00 degrees
Space group P4/mmm (No. 123)
Asymmetric unit:
1 Os 0.000 0.000 0.000
2 Pd 0.500 0.500 0.000
3 I 0.000 0.500 0.500
4 O 0.000 0.000 0.500

***

Record 2
A relaxed KAlIr2 crystal, computed with PBE.

Results
The formation energy is 117 meV/atom.

Cell lengths 9.745, 2.820, 6.801 Å; angles 90.00, 105.03, 90.00 degrees
Space group C2/m (No. 12)
Asymmetric unit:
1 K 0.000 0.000 0.000
2 Al 0.000 0.500 0.500
3 Ir 0.208 0.000 0.631

***

Record 3
A relaxed La2DyF11 crystal, computed with PBE.

Results
The value obtained for the uncorrected formation energy is -48.37 eV/f.u.

Cell lengths 8.853, 10.579, 11.384 Å; angles 90.00, 90.00, 90.00 degrees
Space group Ibam (No. 72)
Asymmetric unit:
1 La 0.170 0.192 0.000
2 Dy 0.000 0.500 0.250
3 F 0.000 0.000 0.000
4 F 0.098 0.332 0.149
5 F 0.103 0.184 0.500
6 F 0.192 0.430 0.366

***

Record 4
A relaxed Ac2In8Pd crystal, computed with PBE.

Results
The formation energy is -402 meV/atom.

Cell lengths 4.865, 4.865, 12.824 Å; angles 90.00, 90.00, 90.00 degrees
Space group P4/mmm (No. 123)
Asymmetric unit:
1 Ac 0.000 0.000 0.196
2 In 0.000 0.500 0.000
3 In 0.000 0.500 0.383
4 In 0.500 0.500 0.190
5 Pd 0.000 0.000 0.500

***

Record 5
A relaxed LaTlCu2Te crystal, computed with PBE.

Results
The value obtained for the uncorrected formation energy is 0.53 eV/f.u.

Cell lengths 4.841, 4.841, 6.310 Å; angles 90.00, 90.00, 90.00 degrees
Space group P4/mmm (No. 123)
Asymmetric unit:
1 La 0.000 0.000 0.000
2 Tl 0.500 0.500 0.500
3 Cu 0.000 0.500 0.500
4 Te 0.500 0.500 0.000

***

Record 6
A relaxed Sm2ZnPdO6 crystal, computed with PBE.

Results
The value obtained for the uncorrected formation energy is -21.47 eV/f.u.

Cell lengths 5.445, 5.812, 9.498 Å; angles 90.00, 124.87, 90.00 degrees
Space group P2_1/c (No. 14)
Asymmetric unit:
1 Sm 0.230 0.073 0.251
2 Zn 0.500 0.000 0.000
3 Pd 0.000 0.000 0.500
4 O 0.128 0.202 0.942
5 O 0.250 0.693 0.945
6 O 0.360 0.039 0.748

***

Record 7
A relaxed Ac2LaS4 crystal, computed with PBE.

Results
The value obtained for the uncorrected formation energy is -14.63 eV/f.u. Its excess energy over the best structure of this formula in the dataset is 0.007 eV/atom.

Cell lengths 4.115, 14.298, 13.894 Å; angles 90.00, 90.00, 90.00 degrees
Space group Cmcm (No. 63)
Asymmetric unit:
1 Ac 0.000 0.130 0.073
2 La 0.000 0.375 0.250
3 S 0.000 0.017 0.250
4 S 0.000 0.221 0.625
5 S 0.000 0.500 0.000

***

Record 8
A relaxed Pm2Ho3Tm7 crystal, computed with PBE.

Results
Its excess energy over the best structure of this formula in the dataset is 0.213 eV/atom. The formation energy is 329 meV/atom.

Cell lengths 6.071, 5.494, 12.050 Å; angles 90.00, 94.00, 90.00 degrees
Space group P2/m (No. 10)
Asymmetric unit:
1 Pm 0.113 0.000 0.286
2 Ho 0.000 0.000 0.000
3 Ho 0.463 0.500 0.329
4 Tm 0.055 0.500 0.828
5 Tm 0.274 0.000 0.553
6 Tm 0.415 0.000 0.839
7 Tm 0.500 0.500 0.000

***

Record 9
A relaxed RbZnCl3 crystal, computed with PBE.

Results
The value obtained for the uncorrected formation energy is -7.57 eV/f.u.

Cell lengths 9.014, 6.029, 14.219 Å; angles 90.00, 115.99, 90.00 degrees
Space group P2_1/c (No. 14)
Asymmetric unit:
1 Rb 0.248 0.246 0.355
2 Zn 0.154 0.666 0.571
3 Cl 0.120 0.230 0.056
4 Cl 0.173 0.749 0.729
5 Cl 0.343 0.746 0.016

***

Record 10
A relaxed NdSn2Pd4 crystal, computed with PBE.

Results
Its excess energy over the best structure of this formula in the dataset is 0.000 eV/atom. The formation energy is -644 meV/atom.

Cell lengths 8.092, 8.092, 4.275 Å; angles 90.00, 90.00, 90.00 degrees
Space group P4_2/mnm (No. 136)
Asymmetric unit:
1 Nd 0.000 0.000 0.000
2 Sn 0.217 0.217 0.500
3 Pd 0.092 0.652 0.500

***

Record 11
A relaxed AcCu2O6 crystal, computed with PBE.

Results
The value obtained for the uncorrected formation energy is -9.03 eV/f.u.

Cell lengths 5.0694, 5.0694, 5.2715 Å; angles 90.00, 90.00, 120.00 degrees
Space group P-31m (No. 162)
Asymmetric unit:
1 Ac 0.0000 0.0000 0.0000
2 Cu 0.3333 0.6667 0.5000
3 O 0.0000 0.3873 0.7050

***

Record 12
A relaxed AlMoBr crystal, computed with PBE.

Results
The value obtained for the uncorrected formation energy is 2.82 eV/f.u. Its excess energy over the best structure of this formula in the dataset is 0.668 eV/atom.

Cell lengths 6.364, 6.364, 6.364 Å; angles 90.00, 90.00, 90.00 degrees
Space group F-43m (No. 216)
Asymmetric unit:
1 Al 0.000 0.000 0.000
2 Mo 0.250 0.250 0.250
3 Br 0.000 0.000 0.500

***

Record 13
A relaxed Pa2FeBi crystal, computed with PBE.

Results
Its excess energy over the best structure of this formula in the dataset is 0.000 eV/atom. The formation energy is -157 meV/atom.

Cell lengths 3.9270, 3.9270, 22.4322 Å; angles 90.00, 90.00, 120.00 degrees
Space group R-3m (No. 166, hexagonal axes)
Asymmetric unit:
1 Pa 0.0000 0.0000 0.2292
2 Fe 0.0000 0.0000 0.5000
3 Bi 0.0000 0.0000 0.0000

***

Record 14
A relaxed Lu3Mg2MoS8 crystal, computed with PBE.

Results
The value obtained for the uncorrected formation energy is -21.95 eV/f.u.

Cell lengths 7.7265, 7.7265, 18.5408 Å; angles 90.00, 90.00, 120.00 degrees
Space group R-3m (No. 166, hexagonal axes)
Asymmetric unit:
1 Lu 0.0000 0.5000 0.0000
2 Mg 0.0000 0.0000 0.1255
3 Mo 0.0000 0.0000 0.5000
4 S 0.0000 0.0000 0.2564
5 S 0.0231 0.5116 0.2473

***

Record 15
A relaxed Ho4TlHg3 crystal, computed with PBE.

Results
Its excess energy over the best structure of this formula in the dataset is 0.000 eV/atom. The formation energy is -442 meV/atom.

Cell lengths 3.713, 3.713, 15.001 Å; angles 90.00, 90.00, 90.00 degrees
Space group P4/mmm (No. 123)
Asymmetric unit:
1 Ho 0.000 0.000 0.123
2 Ho 0.000 0.000 0.368
3 Tl 0.500 0.500 0.500
4 Hg 0.500 0.500 0.000
5 Hg 0.500 0.500 0.246

***

Record 16
A relaxed CeErPd2 crystal, computed with PBE.

Results
Its excess energy over the best structure of this formula in the dataset is 0.045 eV/atom. The formation energy is -767 meV/atom.

Cell lengths 3.440, 3.440, 7.380 Å; angles 90.00, 90.00, 90.00 degrees
Space group P4/mmm (No. 123)
Asymmetric unit:
1 Ce 0.000 0.000 0.000
2 Er 0.000 0.000 0.500
3 Pd 0.500 0.500 0.271

***

Record 17
A relaxed Y2HoSi2 crystal, computed with PBE.

Results
The value obtained for the uncorrected formation energy is -3.13 eV/f.u. Its excess energy over the best structure of this formula in the dataset is 0.096 eV/atom.

Cell lengths 12.168, 4.293, 10.383 Å; angles 90.00, 116.77, 90.00 degrees
Space group C2/m (No. 12)
Asymmetric unit:
1 Y 0.017 0.000 0.188
2 Y 0.180 0.000 0.588
3 Ho 0.221 0.500 0.862
4 Si 0.021 0.500 0.395
5 Si 0.111 0.500 0.060

***

Record 18
A relaxed Tl2WAu crystal, computed with PBE.

Results
Its excess energy over the best structure of this formula in the dataset is 0.327 eV/atom. The formation energy is 899 meV/atom.

Cell lengths 4.088, 4.088, 9.922 Å; angles 90.00, 90.00, 90.00 degrees
Space group I-4m2 (No. 119)
Asymmetric unit:
1 Tl 0.000 0.000 0.000
2 Tl 0.000 0.500 0.250
3 W 0.000 0.500 0.750
4 Au 0.000 0.000 0.500

***

Record 19
A relaxed CuBiNF2 crystal, computed with PBE.

Results
The value obtained for the uncorrected formation energy is -0.90 eV/f.u. Its excess energy over the best structure of this formula in the dataset is 0.271 eV/atom.

Cell lengths 4.502, 4.502, 4.297 Å; angles 90.00, 90.00, 90.00 degrees
Space group P4/mmm (No. 123)
Asymmetric unit:
1 Cu 0.000 0.000 0.000
2 Bi 0.500 0.500 0.500
3 N 0.500 0.500 0.000
4 F 0.000 0.500 0.500

***

Record 20
A relaxed DyEr2Sn9 crystal, computed with PBE.

Results
The formation energy is -399 meV/atom.

Cell lengths 4.785, 4.785, 13.652 Å; angles 90.00, 90.00, 90.00 degrees
Space group P4/mmm (No. 123)
Asymmetric unit:
1 Dy 0.000 0.000 0.000
2 Er 0.000 0.000 0.333
3 Sn 0.000 0.500 0.168
4 Sn 0.000 0.500 0.500
5 Sn 0.500 0.500 0.000
6 Sn 0.500 0.500 0.334

***

Record 21
A relaxed La3HgN crystal, computed with PBE.

Results
The value obtained for the uncorrected formation energy is -3.69 eV/f.u.

Cell lengths 11.934, 5.373, 8.897 Å; angles 90.00, 112.20, 90.00 degrees
Space group C2/m (No. 12)
Asymmetric unit:
1 La 0.109 0.000 0.197
2 La 0.138 0.500 0.926
3 La 0.147 0.000 0.664
4 Hg 0.104 0.500 0.434
5 N 0.123 0.000 0.925

***

In order of appearance, spin magnetization = 0.000, 0.000, 0.152, 0.000, 0.000, 0.000, 0.000, 0.000, 0.000, 0.000, 0.000, 0.661, 0.000, 0.214, 0.000, 0.253, 0.000, 0.154, 0.000, 0.000, 0.000 μB/atom.